DFT (PBE) results for Er2MnGe3Pt4 after structural relaxation.

For the formation energy, the calculation gives -0.810 eV/atom. The calculation puts the total magnetic moment at 3.7 μB/f.u. Its crystal system is tetragonal. As for the density of states at the Fermi level: 0.711 states/eV per atom.

Structure (extended XYZ):
```
10
Lattice="4.057 0.000 0.000 0.000 4.057 0.000 0.000 0.000 11.154" Properties=species:S:1:pos:R:3 pbc="T T T"
Er 2.029 0.000 2.754
Er 0.000 2.029 8.400
Mn 2.029 2.029 5.577
Ge 0.000 0.000 5.577
Ge 2.029 0.000 9.612
Ge 0.000 2.029 1.542
Pt 2.029 2.029 0.000
Pt 0.000 0.000 0.000
Pt 2.029 0.000 7.198
Pt 0.000 2.029 3.956
```